First-principles (GGA-PBE) data for a relaxed structure of CeMn4Ga8, as listed in Alexandria.

As for the volume: 15.604 Å³/atom. The formation energy is -0.2494 eV per atom. The value obtained for the energy is -5.39 eV per atom.

The structure belongs to space group I4/mmm (No. 139); the cell edges are 8.843, 8.843 and 5.189 Å and the angles 90.00°, 90.00° and 90.00°. Symmetry generates all atoms from Ce at (0.000, 0.000, 0.000), Mn at (0.250, 0.250, 0.250), Ga at (0.000, 0.228, 0.500) and Ga at (0.000, 0.338, 0.000).